Entry from Alexandria via LeMat-Bulk: crystalline KPPb2 at its relaxed geometry (PBE).

```
4
Lattice="9.772 -0.036 -0.021 8.954 3.915 -0.021 8.954 1.855 3.448" Properties=species:S:1:pos:R:3 pbc="T T T"
K 6.920 1.434 0.851
P 20.760 4.301 2.554
Pb 0.686 0.142 0.084
Pb 13.154 2.725 1.618
```

Calculated values
* formation enthalpy at 0 K: 0.044 eV per atom
* V: 33.5 A^3/atom
* total energy: -13.7 eV/cell
* symmetry: No. 166
* total magnetization: 0.0 μB per formula unit

=====

Entry from Alexandria via LeMat-Bulk: crystalline K2P2Pb at its relaxed geometry (PBE).

```
10
Lattice="7.445 0.000 0.000 0.000 7.445 0.000 0.000 0.000 5.195" Properties=species:S:1:pos:R:3 pbc="T T T"
Pb 0.000 0.000 0.000
Pb 3.723 3.723 0.000
P 2.963 6.686 0.000
P 6.686 4.482 0.000
P 4.482 0.760 0.000
P 0.760 2.963 0.000
K 1.353 5.076 2.598
K 5.076 6.092 2.598
K 6.092 2.370 2.598
K 2.370 1.353 2.598
```

Calculated values
* formation enthalpy at 0 K: -0.247 eV per atom
* V: 28.8 A^3/atom
* total energy: -35.9 eV/cell
* symmetry: No. 127
* total magnetization: 0.0 μB per formula unit

=====

Entry from Alexandria via LeMat-Bulk: crystalline KPPb3 at its relaxed geometry (PBE).

```
5
Lattice="5.635 0.000 0.000 0.000 5.635 0.000 0.000 0.000 5.635" Properties=species:S:1:pos:R:3 pbc="T T T"
Pb 0.000 2.817 0.000
Pb 0.000 0.000 2.817
Pb 2.817 0.000 0.000
P 0.000 0.000 0.000
K 2.817 2.817 2.817
```

Calculated values
* formation enthalpy at 0 K: 0.197 eV per atom
* V: 35.8 A^3/atom
* total energy: -16.6 eV/cell
* symmetry: No. 221
* total magnetization: 0.0 μB per formula unit